1.
## LiIr2 (PBE)

Data for a relaxed structure of LiIr2.

Unit cell a=3.901 b=3.901 c=3.901 alpha=60.00 beta=60.00 gamma=60.00
Atoms (fractional coordinates):
Li 0.000 0.000 0.000
Ir 0.250 0.250 0.250
Ir 0.750 0.750 0.750

Magnetization (μB/cell): 0.001
Space-group type: Fm-3m (225)
Electronic total energy (eV/atom): -5.873
Fermi-level density of states (states/eV/f.u.): 4.57

2.
## Li3Ir (PBE)

Data for a relaxed structure of Li3Ir.

Unit cell a=3.759 b=3.759 c=3.759 alpha=90.00 beta=90.00 gamma=90.00
Atoms (fractional coordinates):
Li 0.000 0.000 0.500
Li 0.000 0.500 0.000
Li 0.500 0.000 0.000
Ir 0.500 0.500 0.500

Magnetization (μB/cell): 0.410
Space-group type: Pm-3m (221)
Electronic total energy (eV/atom): -3.605
Fermi-level density of states (states/eV/f.u.): 1.47

3.
## LiIr2 (PBE)

Data for a relaxed structure of LiIr2.

Unit cell a=4.536 b=4.536 c=4.435 alpha=90.00 beta=90.00 gamma=62.88
Atoms (fractional coordinates):
Li 0.162 0.838 0.750
Li 0.838 0.162 0.250
Ir 0.165 0.499 0.250
Ir 0.499 0.165 0.750
Ir 0.501 0.835 0.250
Ir 0.835 0.501 0.750

Magnetization (μB/cell): 0.000
Space-group type: Cmcm (63)
Electronic total energy (eV/atom): -6.599
Fermi-level density of states (states/eV/f.u.): 2.30

4.
## LiIr (PBE)

Data for a relaxed structure of LiIr.

Unit cell a=4.787 b=4.787 c=4.685 alpha=90.00 beta=90.00 gamma=90.00
Atoms (fractional coordinates):
Li 0.189 0.189 0.000
Li 0.311 0.689 0.500
Li 0.689 0.311 0.500
Li 0.811 0.811 0.000
Ir 0.189 0.189 0.500
Ir 0.311 0.689 0.000
Ir 0.689 0.311 0.000
Ir 0.811 0.811 0.500

Magnetization (μB/cell): 1.418
Space-group type: P4_2/mnm (136)
Electronic total energy (eV/atom): -4.627
Fermi-level density of states (states/eV/f.u.): 2.64

5.
## Li2Ir (PBE)

Data for a relaxed structure of Li2Ir.

Unit cell a=7.548 b=7.548 c=4.440 alpha=90.00 beta=90.00 gamma=161.17
Atoms (fractional coordinates):
Li 0.047 0.953 0.750
Li 0.284 0.716 0.250
Li 0.716 0.284 0.750
Li 0.953 0.047 0.250
Ir 0.378 0.622 0.750
Ir 0.622 0.378 0.250

Magnetization (μB/cell): 0.000
Space-group type: Cmcm (63)
Electronic total energy (eV/atom): -4.435
Fermi-level density of states (states/eV/f.u.): 1.48

6.
## Li3Ir (PBE)

Data for a relaxed structure of Li3Ir.

Unit cell a=2.529 b=4.502 c=4.991 alpha=90.00 beta=90.00 gamma=90.00
Atoms (fractional coordinates):
Li 0.000 0.000 0.000
Li 0.000 0.500 0.309
Li 0.500 0.500 0.759
Ir 0.500 0.000 0.498

Magnetization (μB/cell): 0.000
Space-group type: Pmm2 (25)
Electronic total energy (eV/atom): -3.752
Fermi-level density of states (states/eV/f.u.): 2.36

7.
## Li8Ir (PBE)

Data for a relaxed structure of Li8Ir.

Unit cell a=6.344 b=6.344 c=6.344 alpha=96.11 beta=96.11 gamma=141.92
Atoms (fractional coordinates):
Li 0.000 0.311 0.311
Li 0.000 0.689 0.689
Li 0.311 0.000 0.311
Li 0.349 0.349 0.699
Li 0.349 0.651 0.000
Li 0.651 0.349 0.000
Li 0.651 0.651 0.301
Li 0.689 0.000 0.689
Ir 0.000 0.000 0.000

Magnetization (μB/cell): 0.000
Space-group type: I4/mmm (139)
Electronic total energy (eV/atom): -2.694
Fermi-level density of states (states/eV/f.u.): 4.66

8.
## LiIr (PBE)

Data for a relaxed structure of LiIr.

Unit cell a=5.024 b=5.024 c=6.653 alpha=104.97 beta=104.97 gamma=30.97
Atoms (fractional coordinates):
Li 0.000 0.000 0.000
Li 0.063 0.063 0.611
Li 0.745 0.745 0.961
Ir 0.340 0.340 0.657
Ir 0.402 0.402 0.289
Ir 0.673 0.673 0.334

Magnetization (μB/cell): 0.000
Space-group type: Cm (8)
Electronic total energy (eV/atom): -5.480
Fermi-level density of states (states/eV/f.u.): 1.33

9.
## LiIr2 (PBE)

Data for a relaxed structure of LiIr2.

Unit cell a=4.523 b=4.523 c=4.523 alpha=144.99 beta=129.47 gamma=62.95
Atoms (fractional coordinates):
Li 0.000 0.000 0.000
Ir 0.332 0.332 0.000
Ir 0.668 0.668 0.000

Magnetization (μB/cell): 0.000
Space-group type: Immm (71)
Electronic total energy (eV/atom): -6.620
Fermi-level density of states (states/eV/f.u.): 2.20

10.
## LiIr (PBE)

Data for a relaxed structure of LiIr.

Unit cell a=2.577 b=2.577 c=4.204 alpha=90.00 beta=90.00 gamma=90.00
Atoms (fractional coordinates):
Li 0.000 0.000 0.000
Ir 0.500 0.500 0.500

Magnetization (μB/cell): 0.000
Space-group type: P4/mmm (123)
Electronic total energy (eV/atom): -5.369
Fermi-level density of states (states/eV/f.u.): 2.62

11.
## LiIr4 (PBE)

Data for a relaxed structure of LiIr4.

Unit cell a=4.675 b=4.675 c=4.675 alpha=99.68 beta=99.68 gamma=131.59
Atoms (fractional coordinates):
Li 0.000 0.000 0.000
Ir 0.198 0.605 0.803
Ir 0.395 0.198 0.593
Ir 0.605 0.802 0.407
Ir 0.802 0.395 0.197

Magnetization (μB/cell): 0.000
Relative energy among the computed polymorphs (kJ/mol of atoms): 0.0
Space-group type: I4/m (87)
Electronic total energy (eV/atom): -7.530
Fermi-level density of states (states/eV/f.u.): 5.40

12.
## LiIr (PBE)

Data for a relaxed structure of LiIr.

Unit cell a=9.423 b=9.423 c=9.423 alpha=16.64 beta=16.64 gamma=16.64
Atoms (fractional coordinates):
Li 0.118 0.118 0.118
Li 0.882 0.882 0.882
Ir 0.373 0.373 0.373
Ir 0.627 0.627 0.627

Magnetization (μB/cell): 0.000
Space-group type: R-3m (166)
Electronic total energy (eV/atom): -5.385
Fermi-level density of states (states/eV/f.u.): 1.59